[1]
Density functional theory data (GGA-PBE) for an optimized crystal structure of GaBiC3.

Computed properties:
Excess energy over the best structure of this formula in the dataset in meV per atom: 752.3
Calculated formation energy in eV per atom: 3.221

a = 4.590 Å, b = 4.590 Å, c = 4.590 Å
α = 90.00°, β = 90.00°, γ = 90.00°
Space group Pm-3m (No. 221)
Symmetry-distinct sites (fractional):
Ga  0.000  0.000  0.000 [1 per cell]
Bi  0.500  0.500  0.500 [1 per cell]
C  0.000  0.500  0.500 [3 per cell]

***

[2]
Density functional theory data (GGA-PBE) for an optimized crystal structure of LiMgZr2.

Computed properties:
Calculated formation energy in eV per atom: 0.126

a = 3.155 Å, b = 4.952 Å, c = 5.525 Å
α = 90.00°, β = 90.00°, γ = 90.00°
Space group Pmmm (No. 47)
Symmetry-distinct sites (fractional):
Li  0.000  0.000  0.000 [1 per cell]
Mg  0.500  0.500  0.000 [1 per cell]
Zr  0.000  0.500  0.500 [1 per cell]
Zr  0.500  0.000  0.500 [1 per cell]

***

[3]
Density functional theory data (GGA-PBE) for an optimized crystal structure of Sc5PaN6.

Computed properties:
Formation energy (no corrections) in meV/atom: -1859

a = 5.654 Å, b = 9.796 Å, c = 5.640 Å
α = 90.00°, β = 109.34°, γ = 90.00°
Space group C2/m (No. 12)
Symmetry-distinct sites (fractional):
Sc  0.000  0.000  0.000 [2 per cell]
Sc  0.000  0.166  0.500 [4 per cell]
Sc  0.000  0.329  0.000 [4 per cell]
Pa  0.000  0.500  0.500 [2 per cell]
N  0.248  0.167  0.247 [8 per cell]
N  0.249  0.000  0.748 [4 per cell]

***

[4]
Density functional theory data (GGA-PBE) for an optimized crystal structure of RbSr2SnRh.

Computed properties:
Calculated formation energy in eV per atom: -0.267

a = 5.941 Å, b = 5.941 Å, c = 5.262 Å
α = 90.00°, β = 90.00°, γ = 90.00°
Space group P4/mmm (No. 123)
Symmetry-distinct sites (fractional):
Rb  0.000  0.000  0.000 [1 per cell]
Sr  0.000  0.500  0.500 [2 per cell]
Sn  0.500  0.500  0.000 [1 per cell]
Rh  0.500  0.500  0.500 [1 per cell]

***

no.,N(E_F) (states/eV/cell)
1,3.53
2,2.90
3,6.13
4,3.34